Entry 1:
# NpTe2Au

NpTe2Au after structural relaxation (PBE, Alexandria).

```
16
Lattice="7.011 0.000 0.000 0.000 3.754 0.000 0.000 0.000 16.346" Properties=species:S:1:pos:R:3 pbc="T T T"
Np 0.840 0.938 0.010
Np 2.666 2.815 8.183
Np 4.345 0.938 8.163
Np 6.171 2.815 16.336
Te 0.604 0.938 9.471
Te 0.992 2.815 13.868
Te 2.513 0.938 5.695
Te 2.902 2.815 1.298
Te 4.109 0.938 15.048
Te 4.498 2.815 10.650
Te 6.019 0.938 2.478
Te 6.407 2.815 6.875
Au 1.682 0.938 3.115
Au 1.823 2.815 11.288
Au 5.188 0.938 5.057
Au 5.329 2.815 13.230
```

Properties
The calculation puts the electronic total energy at -5.84 eV/atom. The total magnetization comes out at 7.0 μB per cell. The value obtained for the density of states at the Fermi level is 15.75 states/eV per cell. Its uncorrected formation energy is -0.213 eV per atom.

=====

Entry 2:
# InGa2CuBi

InGa2CuBi after structural relaxation (PBE, Alexandria).

```
5
Lattice="4.770 0.000 0.000 0.000 4.770 0.000 0.000 0.000 5.254" Properties=species:S:1:pos:R:3 pbc="T T T"
In 0.000 0.000 0.000
Ga 0.000 2.385 2.627
Ga 2.385 0.000 2.627
Cu 0.000 0.000 2.627
Bi 2.385 2.385 0.000
```

Properties
The calculation puts the electronic total energy at -3.23 eV/atom. The total magnetization comes out at 0.0 μB per cell. The value obtained for the energy of formation is 0.13 eV/atom. The value obtained for the density of states at the Fermi level is 2.78 states/eV per cell.

=====

Entry 3:
# Y3LuCo

Y3LuCo after structural relaxation (PBE, Alexandria).

```
5
Lattice="5.274 0.000 0.000 0.000 5.274 0.000 0.000 0.000 5.274" Properties=species:S:1:pos:R:3 pbc="T T T"
Y 0.000 0.000 2.637
Y 0.000 2.637 0.000
Y 2.637 0.000 0.000
Lu 2.637 2.637 2.637
Co 0.000 0.000 0.000
```

Properties
The calculation puts the electronic total energy at -6.18 eV/atom. The total magnetization comes out at 0.0 μB per cell. The value obtained for the energy of formation is 0.02 eV/atom. The value obtained for the density of states at the Fermi level is 7.82 states/eV per cell.

=====

Entry 4:
# ReGe3Bi

ReGe3Bi after structural relaxation (PBE, Alexandria).

```
5
Lattice="4.921 0.000 0.000 0.000 4.921 0.000 0.000 0.000 4.921" Properties=species:S:1:pos:R:3 pbc="T T T"
Re 0.000 0.000 0.000
Ge 0.000 0.000 2.461
Ge 0.000 2.461 0.000
Ge 2.461 0.000 0.000
Bi 2.461 2.461 2.461
```

Properties
The calculation puts the energy relative to the lowest polymorph listed for this composition at 0 meV per atom. The calculation puts the electronic total energy at -5.59 eV/atom. The total magnetization comes out at 1.2 μB per cell. The value obtained for the energy of formation is 0.45 eV/atom. The value obtained for the density of states at the Fermi level is 3.83 states/eV per cell.

=====

Entry 5:
# Pm5GaHg2

Pm5GaHg2 after structural relaxation (PBE, Alexandria).

```
16
Lattice="-3.901 3.901 7.738 3.901 -3.901 7.738 3.901 3.901 -7.738" Properties=species:S:1:pos:R:3 pbc="T T T"
Pm 0.000 0.000 0.000
Pm 5.190 1.290 -2.423
Pm 1.290 2.611 -2.423
Pm 5.190 1.290 2.423
Pm 1.290 2.611 2.423
Pm 0.000 0.000 7.738
Pm 2.611 1.290 5.315
Pm -1.290 2.611 5.315
Pm 2.611 1.290 10.162
Pm -1.290 2.611 10.162
Ga 0.000 0.000 3.869
Ga 0.000 0.000 11.607
Hg 2.876 1.024 0.000
Hg 2.876 -1.024 7.738
Hg 1.024 4.925 0.000
Hg 1.024 2.876 7.738
```

Properties
The calculation puts the energy relative to the lowest polymorph listed for this composition at 33 meV per atom. The calculation puts the electronic total energy at -3.76 eV/atom. The total magnetization comes out at 0.0 μB per cell. The value obtained for the energy of formation is -0.34 eV/atom. The value obtained for the density of states at the Fermi level is 16.61 states/eV per cell.

=====

Entry 6:
# Al3Tl

Al3Tl after structural relaxation (PBE, Alexandria).

```
8
Lattice="4.372 0.000 0.000 0.000 5.598 0.000 0.000 0.000 7.217" Properties=species:S:1:pos:R:3 pbc="T T T"
Al 1.093 0.055 0.921
Al 1.093 1.399 5.636
Al 1.093 2.744 0.921
Al 3.279 2.854 6.296
Al 3.279 4.198 1.581
Al 3.279 5.543 6.296
Tl 1.093 4.198 4.107
Tl 3.279 1.399 3.111
```

Properties
The calculation puts the energy relative to the lowest polymorph listed for this composition at 0 meV per atom. The calculation puts the electronic total energy at -3.23 eV/atom. The total magnetization comes out at 0.0 μB per cell. The value obtained for the energy of formation is 0.17 eV/atom. The value obtained for the density of states at the Fermi level is 3.44 states/eV per cell.

=====

- What is the total magnetization in the fourth record?
  1.2 μB per cell

=====

- Look up the total magnetization of the third one.
  0.0 μB per cell

=====

- Look up the total magnetization of the fourth one.
  1.2 μB per cell